# 1
## AsPb2O (PBE)

Data for AsPb2O after structural relaxation.

SG: Fm-3m
formation energy from raw total energies: -0.10 eV per formula unit

Cell lengths 4.9435, 4.9435, 4.9435 Å; angles 60.00, 60.00, 60.00 degrees
Last column: nearest neighbours and their distance in Å.
Positions (direct):
Pb: 0.2500 0.2500 0.2500  4 As 3.03, 4 O 3.03
Pb: 0.7500 0.7500 0.7500  4 As 3.03, 4 O 3.03
As: 0.5000 0.5000 0.5000  8 Pb 3.03
O: 0.0000 0.0000 0.0000  8 Pb 3.03

=====

# 2
## AsPb2O4 (PBE)

Data for AsPb2O4 after structural relaxation.

SG: I-42m
formation energy from raw total energies: -7.88 eV per formula unit

Cell lengths 6.5647, 6.5647, 5.6613 Å; angles 125.42, 125.42, 90.00 degrees
Last column: nearest neighbours and their distance in Å.
Positions (direct):
O: 0.4986 0.8054 0.3041  1 As 1.73
O: 0.8054 0.4986 0.3041  1 As 1.73
O: 0.1945 0.1945 0.6957  1 As 1.73
O: 0.5016 0.5016 0.6961  1 As 1.73
Pb: 0.7502 0.2498 0.5000  4 O 2.57
Pb: 0.2498 0.7502 0.5000  4 O 2.57
As: 0.5000 0.5000 0.0000  4 O 1.73

=====

# 3
## As3PbO (PBE)

Data for As3PbO after structural relaxation.

SG: Pm-3m
formation energy from raw total energies: 1.06 eV per formula unit

Cell lengths 4.5960, 4.5960, 4.5960 Å; angles 90.00, 90.00, 90.00 degrees
Last column: nearest neighbours and their distance in Å.
Positions (direct):
O: 0.0000 0.0000 0.0000  6 As 2.30
Pb: 0.5000 0.5000 0.5000  12 As 3.25
As: 0.0000 0.5000 0.0000  2 O 2.30
As: 0.5000 0.0000 0.0000  2 O 2.30
As: 0.0000 0.0000 0.5000  2 O 2.30

=====

| no. | energy above the lowest structure with this stoichiometry (meV per atom) | calculated volume (Å³ per cell) | VASP energy (Ry/atom) |
| --- | --- | --- | --- |
| 1 | 271.9 | 85.4 | -0.3146 |
| 2 | 0.0 | 139.8 | -0.4177 |
| 3 | 0.0 | 97.1 | -0.3169 |